The following is a PBE with a Hubbard U calculation of a geometry-optimized BaNaLaWO6 structure, from the Alexandria database.

Properties
Its density of states at the Fermi level is 0.00 states/eV/cell. For the uncorrected energy, the calculation gives -7.078 eV per atom.

Unit cell a=8.6479 b=8.6479 c=8.6479 alpha=90.00 beta=90.00 gamma=90.00
Space group F-43m (No. 216)
Unique sites:
Ba 0.0000 0.0000 0.0000 x4
Na 0.0000 0.0000 0.5000 x4
La 0.2500 0.2500 0.2500 x4
W 0.2500 0.2500 0.7500 x4
O 0.0237 0.2500 0.7500 x24